# Li2Co3P4O14

A relaxed Li2Co3P4O14 crystal (GGA+U, Alexandria).

abc: 5.5809 6.9615 7.2186
angles: 99.99 95.00 111.34
Closest atoms and distances in Å follow each position.
Element x y z (fractional)
Li1 0.1660 0.0023 0.3127  4 O 1.94-2.11
Li2 0.8340 0.9977 0.6873  4 O 1.94-2.11
Co1 0.1704 0.4860 0.6742  5 O 1.97-2.11
Co2 0.5000 0.0000 0.0000  6 O 2.08-2.32
Co3 0.8296 0.5140 0.3258  5 O 1.97-2.11
P1 0.1364 0.2999 0.0638  4 O 1.52-1.61
P2 0.4395 0.7167 0.3499  4 O 1.52-1.62
P3 0.5605 0.2833 0.6501  4 O 1.52-1.62
P4 0.8636 0.7001 0.9362  4 O 1.52-1.61
O1 0.0882 0.2933 0.8512  1 P 1.52
O2 0.1130 0.7256 0.8464  1 P 1.55
O3 0.2179 0.6541 0.4698  1 P 1.55
O4 0.2565 0.1431 0.1042  1 P 1.53
O5 0.3042 0.2707 0.5396  1 P 1.54
O6 0.3615 0.5276 0.1619  2 P 1.61-1.62
O7 0.4641 0.9122 0.2735  1 P 1.52
O8 0.5359 0.0878 0.7265  1 P 1.52
O9 0.6385 0.4724 0.8381  2 P 1.61-1.62
O10 0.6958 0.7293 0.4604  1 P 1.54
O11 0.7435 0.8569 0.8958  1 P 1.53
O12 0.7821 0.3459 0.5302  1 P 1.55
O13 0.8870 0.2744 0.1536  1 P 1.55
O14 0.9118 0.7067 0.1488  1 P 1.52

## Properties
DOS at the Fermi energy: 0.000 states/eV/atom
total energy: -6.68 eV per atom
spin magnetization: 5.02 μB/f.u.